[1]
VASP calculation (PBE with a Hubbard U) on crystalline V2PdO4 at its relaxed geometry.

Calculated values
VASP energy   -7.139 eV per atom

Cell: 8.8051 8.6159 6.2174 Å, 90.00 134.92 90.00°
Space group C2/c (No. 15)
One atom of each set of equivalent atoms:
V 0.0000 0.0000 0.0000 [4 per cell]
V 0.2500 0.2500 0.0000 [4 per cell]
Pd 0.0000 0.3761 0.2500 [4 per cell]
O 0.0067 0.2332 0.9683 [8 per cell]
O 0.2109 0.0168 0.9541 [8 per cell]


[2]
VASP calculation (PBE with a Hubbard U) on crystalline PdWO3 at its relaxed geometry.

Calculated values
VASP energy   -5.204 eV per atom

Cell: 3.9438 3.9438 3.9438 Å, 90.00 90.00 90.00°
Space group Pm-3m (No. 221)
One atom of each set of equivalent atoms:
Pd 0.0000 0.0000 0.0000 [1 per cell]
W 0.5000 0.5000 0.5000 [1 per cell]
O 0.0000 0.0000 0.5000 [3 per cell]


[3]
VASP calculation (PBE with a Hubbard U) on crystalline PdWO4 at its relaxed geometry.

Calculated values
VASP energy   -6.370 eV per atom

Cell: 4.6050 4.6050 10.0531 Å, 90.00 90.00 90.00°
Space group P-42c (No. 112)
One atom of each set of equivalent atoms:
Pd 0.0000 0.0000 0.0000 [2 per cell]
W 0.0000 0.5000 0.2500 [2 per cell]
O 0.2206 0.2684 0.3575 [8 per cell]